A geometry-optimized Be4Tc structure, computed with PBE-GGA.

Structure (POSCAR):
```
Be4Tc
1.0
-2.575 2.575 2.575
2.575 -2.575 2.575
2.575 2.575 -2.575
Be Tc
4 1
direct
0.000 0.000 0.500
0.000 0.500 0.000
0.500 0.000 0.000
0.500 0.500 0.500
0.000 0.000 0.000
```

Values from the calculation:
For the density, the calculation gives 3.26 Mg/m³. The formation energy is 807.8 meV/atom. Its crystal system is cubic.

***

A geometry-optimized PrW3 structure, computed with PBE-GGA.

Structure (POSCAR):
```
PrW3
1.0
-3.311 -3.167 1.206
-1.807 -2.903 -3.279
1.057 -4.617 0.083
W Pr
3 1
direct
0.500 0.500 0.500
0.250 0.250 0.250
0.750 0.750 0.750
0.000 0.000 0.000
```

Values from the calculation:
For the density, the calculation gives 15.29 Mg/m³. The formation energy is 768.8 meV/atom. Its crystal system is cubic.

***

A geometry-optimized Te2IrCl structure, computed with PBE-GGA.

Structure (POSCAR):
```
Te2IrCl
1.0
-4.504 2.029 -0.313
-3.384 -0.936 3.490
-1.336 3.560 3.170
Te Ir Cl
2 1 1
direct
0.250 0.250 0.250
0.000 0.000 0.000
0.750 0.750 0.750
0.500 0.500 0.500
```

Values from the calculation:
For the density, the calculation gives 9.35 Mg/m³. Its crystal system is cubic. As for the uncorrected formation energy: 0.755 eV per atom.

***

A geometry-optimized La2Al3Rh structure, computed with PBE-GGA.

Structure (POSCAR):
```
La2Al3Rh
1.0
4.995 -0.149 -2.632
-3.173 4.666 -0.236
-0.235 0.119 5.606
La Al Rh
2 3 1
direct
0.749 0.374 0.124
0.251 0.626 0.876
0.500 0.000 0.500
0.000 0.000 0.500
0.500 0.500 0.500
0.000 0.000 0.000
```

Values from the calculation:
For the density, the calculation gives 6.07 Mg/m³. The formation energy is -630.2 meV/atom. Its crystal system is trigonal.

***

A geometry-optimized CdGeBiH structure, computed with PBE-GGA.

Structure (POSCAR):
```
CdGeBiH
1.0
-4.430 1.907 -2.425
1.310 -5.214 -0.486
-5.529 -2.171 8.395
H Ge Cd Bi
3 3 3 3
direct
0.333 0.667 0.873
0.000 0.000 0.206
0.667 0.333 0.539
0.000 0.000 0.368
0.333 0.667 0.035
0.667 0.333 0.702
0.000 0.000 0.002
0.667 0.333 0.335
0.333 0.667 0.668
0.333 0.667 0.380
0.000 0.000 0.713
0.667 0.333 0.046
```

Values from the calculation:
For the density, the calculation gives 7.58 Mg/m³. Its crystal system is trigonal. The value obtained for the final energy is -2.9718 eV per atom.

***

A geometry-optimized AcNd5Dy3 structure, computed with PBE-GGA.

Structure (POSCAR):
```
AcNd5Dy3
1.0
-3.679 -7.386 4.862
2.096 -1.729 -10.473
6.232 -0.514 3.935
Ac Dy Nd
2 6 10
direct
0.356 0.000 0.250
0.644 0.000 0.750
0.183 0.355 0.428
0.828 0.645 0.072
0.172 0.355 0.928
0.817 0.645 0.572
0.000 0.000 0.000
0.000 0.000 0.500
0.509 0.666 0.325
0.844 0.335 0.660
0.156 0.665 0.340
0.719 0.000 0.250
0.491 0.334 0.675
0.509 0.665 0.840
0.491 0.335 0.160
0.157 0.666 0.825
0.281 0.000 0.750
0.843 0.334 0.175
```

Values from the calculation:
For the density, the calculation gives 7.51 Mg/m³. The formation energy is 139.5 meV/atom. Its crystal system is orthorhombic.

***

A geometry-optimized CoPW structure, computed with PBE-GGA.

Structure (POSCAR):
```
CoPW
1.0
-3.272 -1.600 0.919
-0.904 -1.347 -5.567
3.141 -5.895 0.916
Co W P
4 4 4
direct
0.750 0.141 0.931
0.750 0.641 0.569
0.250 0.359 0.431
0.250 0.859 0.069
0.750 0.532 0.168
0.250 0.468 0.832
0.250 0.968 0.668
0.750 0.032 0.332
0.250 0.232 0.121
0.750 0.768 0.879
0.750 0.268 0.621
0.250 0.732 0.379
```

Values from the calculation:
For the density, the calculation gives 12.38 Mg/m³. The formation energy is -447.5 meV/atom. Its crystal system is orthorhombic.

***

A geometry-optimized NbTl4Se4 structure, computed with PBE-GGA.

Structure (POSCAR):
```
NbTl4Se4
1.0
7.029 0.000 0.000
0.000 9.251 0.000
0.000 0.000 9.251
Se Tl Nb
8 8 2
direct
0.298 0.500 0.718
0.702 0.282 0.500
0.202 0.000 0.782
0.798 0.218 0.000
0.702 0.718 0.500
0.298 0.500 0.282
0.202 0.000 0.218
0.798 0.782 0.000
0.151 0.222 0.500
0.849 0.500 0.222
0.151 0.778 0.500
0.651 0.000 0.278
0.349 0.722 0.000
0.349 0.278 0.000
0.651 0.000 0.722
0.849 0.500 0.778
0.000 0.000 0.000
0.500 0.500 0.500
```

Values from the calculation:
For the density, the calculation gives 6.77 Mg/m³. Its crystal system is tetragonal. As for the uncorrected formation energy: -0.449 eV per atom.